## LiIrRh (PBE-GGA)

Data for a relaxed LiIrRh crystal.

Lattice parameters (Å, degrees): 6.178 6.178 6.178 154.76 154.76 36.00
Fractional positions:
Ir  0.006  0.006  0.000
Li  0.334  0.334  0.000
Rh  0.660  0.660  0.000

Summary:
Calculated volume ... 14.27 Å³ per atom
Formation energy from the elements ... 0.005 eV per atom
Space group ... I4mm, No. 107
M_tot ... 0.0 μB per formula unit
Total energy ... -6.04 eV per atom